Crystalline CrIrRh at its relaxed geometry, computed with PBE.

Geometry as extended XYZ:
```
3
Lattice="-5.462 0.435 -2.204 -4.134 -0.905 -4.120 -1.165 -2.291 0.794" Properties=species:S:1:pos:R:3 pbc="T T T"
Cr -9.587 -0.473 -6.317
Rh -6.711 -1.094 -3.889
Ir -4.058 -1.666 -1.649
```

Values from the calculation:
Space-group type   I4mm, No. 107
Polymorph energy (0 for the lowest one)   0.000 eV/atom
DFT total energy   -0.6437 Ry per atom

Crystalline Ac8Ir6Au at its relaxed geometry, computed with PBE.

Geometry as extended XYZ:
```
15
Lattice="4.608 0.000 0.000 0.000 9.488 -5.478 0.000 0.000 10.955" Properties=species:S:1:pos:R:3 pbc="T T T"
Ir 1.141 3.178 7.444
Ir 3.467 6.310 -1.967
Ir 3.467 8.036 0.970
Ir 1.141 1.452 4.508
Ir 3.467 4.630 0.997
Ir 1.141 4.858 4.481
Ac 3.432 9.236 -1.903
Ac 1.176 6.265 7.047
Ac 1.176 0.252 7.380
Ac 3.448 3.163 5.478
Ac 1.160 6.325 0.000
Ac 3.432 6.517 3.472
Ac 1.176 2.970 2.006
Ac 3.432 3.222 -1.569
Au 2.304 0.000 0.000
```

Values from the calculation:
Space-group type   P-3, No. 147
DFT total energy   -0.4770 Ry per atom

Crystalline AcPt9Pb2 at its relaxed geometry, computed with PBE.

Geometry as extended XYZ:
```
12
Lattice="-4.461 -3.222 0.482 0.517 -5.492 -0.284 -0.123 -3.245 8.824" Properties=species:S:1:pos:R:3 pbc="T T T"
Pb -3.443 -8.858 3.879
Pb -0.624 -3.102 5.143
Ac 0.000 0.000 0.000
Pt -2.034 -5.980 4.511
Pt -1.665 -4.430 2.314
Pt -0.152 -5.904 6.465
Pt -1.404 -7.201 2.171
Pt -3.915 -6.056 2.557
Pt -1.313 -2.906 0.081
Pt -2.403 -7.530 6.708
Pt -2.663 -4.758 6.851
Pt -2.755 -9.054 8.941
```

Values from the calculation:
Space-group type   R-3m, No. 166
DFT total energy   -0.4380 Ry per atom

Crystalline TeAu2 at its relaxed geometry, computed with PBE.

Geometry as extended XYZ:
```
12
Lattice="5.846 0.000 0.000 -2.923 5.062 0.000 0.000 0.000 9.524" Properties=species:S:1:pos:R:3 pbc="T T T"
Te 2.923 1.687 4.651
Te 0.000 3.375 9.413
Te 2.923 1.687 0.111
Te 0.000 3.375 4.873
Au 2.923 3.415 2.381
Au 1.427 0.824 2.381
Au 4.419 0.824 2.381
Au -1.496 4.239 7.143
Au 0.000 1.647 7.143
Au 0.000 0.000 0.000
Au 1.496 4.239 7.143
Au 0.000 0.000 4.762
```

Values from the calculation:
Uncorrected formation energy   14.7 kJ per mole of atoms
Space-group type   P6_3/mmc, No. 194
DFT total energy   -0.2264 Ry per atom

Crystalline LiGeAu3 at its relaxed geometry, computed with PBE.

Geometry as extended XYZ:
```
20
Lattice="7.066 0.491 0.306 -1.165 6.987 0.306 -1.446 -1.832 7.127" Properties=species:S:1:pos:R:3 pbc="T T T"
Au 3.965 5.423 1.234
Au 0.826 1.445 2.941
Au 3.629 4.201 4.797
Au -1.503 3.754 6.688
Au 5.734 4.028 2.977
Au -1.279 1.617 4.761
Au 2.593 0.048 1.198
Au -0.269 5.318 4.614
Au 4.723 0.327 3.125
Au 0.490 0.223 6.504
Au 1.862 5.597 6.540
Au 5.958 1.891 1.050
Ge 1.870 4.944 3.098
Ge 0.804 3.593 1.076
Ge 3.651 2.052 6.662
Ge 2.585 0.701 4.640
Li 1.036 3.020 5.651
Li -0.998 6.112 2.087
Li 5.453 -0.466 5.651
Li 3.419 2.626 2.087
```

Values from the calculation:
Space-group type   C2/c, No. 15
Polymorph energy (0 for the lowest one)   0.063 eV/atom
DFT total energy   -0.2535 Ry per atom

Crystalline DyY7Tm2 at its relaxed geometry, computed with PBE.

Geometry as extended XYZ:
```
10
Lattice="-1.671 -5.369 0.071 8.288 -2.614 -2.627 -2.229 0.809 8.764" Properties=species:S:1:pos:R:3 pbc="T T T"
Y 5.363 -4.565 3.764
Y 1.458 -3.401 -0.192
Y 5.963 -1.857 -0.108
Y 2.931 -3.773 6.399
Y 2.194 -3.587 3.104
Y 0.096 0.052 6.245
Y -0.975 -2.609 2.443
Tm 4.341 -4.286 0.779
Tm 0.048 -2.888 5.429
Dy 0.000 0.000 0.000
```

Values from the calculation:
Space-group type   Cmmm, No. 65
Polymorph energy (0 for the lowest one)   0.573 eV/atom
DFT total energy   -0.3808 Ry per atom

Crystalline Pr3Sn2 at its relaxed geometry, computed with PBE.

Geometry as extended XYZ:
```
20
Lattice="4.540 0.000 0.000 0.000 11.954 0.000 0.000 0.000 12.613" Properties=species:S:1:pos:R:3 pbc="T T T"
Sn 3.405 8.189 0.061
Sn 1.135 11.936 10.256
Sn 1.135 3.765 12.552
Sn 3.405 9.742 6.368
Sn 3.405 0.018 2.357
Sn 3.405 5.959 8.664
Sn 1.135 2.212 6.245
Sn 1.135 5.995 3.949
Pr 3.405 5.326 1.599
Pr 1.135 10.385 0.600
Pr 1.135 7.546 6.906
Pr 1.135 11.303 4.708
Pr 3.405 0.650 7.905
Pr 3.405 8.414 3.432
Pr 1.135 2.437 2.874
Pr 3.405 1.569 12.013
Pr 1.135 6.627 11.014
Pr 3.405 4.408 5.707
Pr 3.405 9.517 9.739
Pr 1.135 3.540 9.181
```

Values from the calculation:
Space-group type   Pnma, No. 62
DFT total energy   -0.3731 Ry per atom

Crystalline NaU2Se3 at its relaxed geometry, computed with PBE.

Geometry as extended XYZ:
```
6
Lattice="-0.846 -3.912 -0.093 2.681 -0.702 5.103 -6.415 3.424 0.537" Properties=species:S:1:pos:R:3 pbc="T T T"
Se -3.718 1.737 3.845
Se -3.631 -0.244 0.222
Se -0.862 -2.927 1.703
U -5.049 2.086 1.288
U 0.469 -3.276 4.259
Na -2.290 -0.595 2.774
```

Values from the calculation:
Uncorrected formation energy   -104.0 kJ per mole of atoms
Space-group type   Immm, No. 71
DFT total energy   -0.5000 Ry per atom

Crystalline Ba5Ga2Sn5 at its relaxed geometry, computed with PBE.

Geometry as extended XYZ:
```
12
Lattice="-3.574 -1.000 -2.379 3.023 -6.813 -5.760 -5.428 -6.948 6.992" Properties=species:S:1:pos:R:3 pbc="T T T"
Sn -3.046 -8.695 -4.019
Sn -3.335 -10.590 1.295
Sn 0.000 0.000 0.000
Sn -2.643 -4.171 -2.443
Sn -2.932 -6.066 2.871
Ga -0.350 -5.137 -1.398
Ga -5.628 -9.624 0.250
Ba -3.425 -11.793 -2.147
Ba -2.553 -2.968 1.000
Ba -0.497 -6.027 -4.887
Ba -5.481 -8.734 3.740
Ba -2.989 -7.380 -0.574
```

Values from the calculation:
Space-group type   C2/m, No. 12
DFT total energy   -0.2591 Ry per atom

Crystalline TbPr3Al at its relaxed geometry, computed with PBE.

Geometry as extended XYZ:
```
5
Lattice="-3.648 0.741 -3.721 -4.697 -7.861 3.039 0.581 5.800 0.586" Properties=species:S:1:pos:R:3 pbc="T T T"
Tb -5.615 -2.034 1.377
Pr -4.385 -5.807 3.142
Pr -1.433 -0.867 1.232
Pr -3.376 2.013 -0.012
Al -3.021 -3.219 2.320
```

Values from the calculation:
Space-group type   Amm2, No. 38
DFT total energy   -0.3281 Ry per atom

Crystalline ZrHgBi at its relaxed geometry, computed with PBE.

Geometry as extended XYZ:
```
6
Lattice="3.899 0.000 0.000 0.000 3.925 0.000 0.000 0.000 10.164" Properties=species:S:1:pos:R:3 pbc="T T T"
Zr 1.949 1.962 0.746
Zr 0.000 0.000 9.197
Hg 0.000 0.000 2.104
Hg 0.000 0.000 5.901
Bi 1.949 1.962 7.849
Bi 1.949 1.962 3.849
```

Values from the calculation:
Space-group type   Pmm2, No. 25
Polymorph energy (0 for the lowest one)   0.109 eV/atom
DFT total energy   -0.3212 Ry per atom

Crystalline Sc2TcH at its relaxed geometry, computed with PBE.

Geometry as extended XYZ:
```
4
Lattice="3.140 0.000 0.000 0.000 3.140 0.000 0.000 0.000 6.569" Properties=species:S:1:pos:R:3 pbc="T T T"
Tc 1.570 1.570 3.284
Sc 0.000 0.000 1.700
Sc 0.000 0.000 4.869
H 1.570 1.570 0.000
```

Values from the calculation:
Space-group type   P4/mmm, No. 123
Polymorph energy (0 for the lowest one)   0.000 eV/atom
DFT total energy   -0.4886 Ry per atom

- What is the formula in the seventh record?
  Pr3Sn2